This record from Alexandria describes a geometry-optimized TaBeCl2 structure. The functional is PBE-GGA.

Output
- symmetry = F-43m

Structure (CIF):
```
data_TaBeCl2
_space_group_name_H-M_alt 'P 1'
_space_group_IT_number 1
_cell_length_a 4.6286
_cell_length_b 4.6286
_cell_length_c 4.6286
_cell_angle_alpha 60.00
_cell_angle_beta 60.00
_cell_angle_gamma 60.00
loop_
_space_group_symop_operation_xyz
'x,y,z'
loop_
_atom_site_label
_atom_site_fract_x
_atom_site_fract_y
_atom_site_fract_z
Be1 0.5000 0.5000 0.5000
Cl1 0.0000 0.0000 0.0000
Cl2 0.2500 0.2500 0.2500
Ta1 0.7500 0.7500 0.7500
```

---

This record from Alexandria describes a geometry-optimized TaBe2Cl structure. The functional is PBE-GGA.

Output
- symmetry = Immm

Structure (CIF):
```
data_TaBe2Cl
_space_group_name_H-M_alt 'P 1'
_space_group_IT_number 1
_cell_length_a 5.1048
_cell_length_b 5.1048
_cell_length_c 5.1048
_cell_angle_alpha 146.70
_cell_angle_beta 132.39
_cell_angle_gamma 59.34
loop_
_space_group_symop_operation_xyz
'x,y,z'
loop_
_atom_site_label
_atom_site_fract_x
_atom_site_fract_y
_atom_site_fract_z
Be1 0.9977 0.9977 0.0000
Be2 0.5023 0.5023 0.0000
Cl1 0.7500 0.2500 0.5000
Ta1 0.2500 0.7500 0.5000
```

---

This record from Alexandria describes a geometry-optimized TaBeCl structure. The functional is PBE-GGA.

Output
- symmetry = F-43m

Structure (CIF):
```
data_TaBeCl
_space_group_name_H-M_alt 'P 1'
_space_group_IT_number 1
_cell_length_a 4.1820
_cell_length_b 4.1820
_cell_length_c 4.1820
_cell_angle_alpha 60.00
_cell_angle_beta 60.00
_cell_angle_gamma 60.00
loop_
_space_group_symop_operation_xyz
'x,y,z'
loop_
_atom_site_label
_atom_site_fract_x
_atom_site_fract_y
_atom_site_fract_z
Be1 0.7500 0.7500 0.7500
Cl1 0.0000 0.0000 0.0000
Ta1 0.5000 0.5000 0.5000
```

---

This record from Alexandria describes a geometry-optimized TaBe2Cl structure. The functional is PBE-GGA.

Output
- symmetry = Cmmm

Structure (CIF):
```
data_TaBe2Cl
_space_group_name_H-M_alt 'P 1'
_space_group_IT_number 1
_cell_length_a 4.6388
_cell_length_b 4.6388
_cell_length_c 2.8637
_cell_angle_alpha 89.97
_cell_angle_beta 89.97
_cell_angle_gamma 116.10
loop_
_space_group_symop_operation_xyz
'x,y,z'
loop_
_atom_site_label
_atom_site_fract_x
_atom_site_fract_y
_atom_site_fract_z
Be1 0.0000 0.0000 0.0000
Be2 0.5000 0.5000 0.0000
Cl1 0.5000 0.0000 0.5000
Ta1 0.0000 0.5000 0.5000
```

---

This record from Alexandria describes a geometry-optimized TaBeCl structure. The functional is PBE-GGA.

Output
- symmetry = P2_1

Structure (CIF):
```
data_TaBeCl
_space_group_name_H-M_alt 'P 1'
_space_group_IT_number 1
_cell_length_a 2.9439
_cell_length_b 4.4319
_cell_length_c 9.0057
_cell_angle_alpha 90.00
_cell_angle_beta 96.76
_cell_angle_gamma 90.00
loop_
_space_group_symop_operation_xyz
'x,y,z'
loop_
_atom_site_label
_atom_site_fract_x
_atom_site_fract_y
_atom_site_fract_z
Be1 0.4184 0.8569 0.8460
Be2 0.5816 0.3569 0.1540
Cl1 0.3062 0.5362 0.6866
Cl2 0.6938 0.0362 0.3134
Ta1 0.1346 0.8474 0.0886
Ta2 0.8654 0.3474 0.9114
```

---

This record from Alexandria describes a geometry-optimized TaBeCl2 structure. The functional is PBE-GGA.

Output
- symmetry = P4mm

Structure (CIF):
```
data_TaBeCl2
_space_group_name_H-M_alt 'P 1'
_space_group_IT_number 1
_cell_length_a 3.0914
_cell_length_b 3.0914
_cell_length_c 8.0987
_cell_angle_alpha 90.00
_cell_angle_beta 90.00
_cell_angle_gamma 90.00
loop_
_space_group_symop_operation_xyz
'x,y,z'
loop_
_atom_site_label
_atom_site_fract_x
_atom_site_fract_y
_atom_site_fract_z
Be1 0.5000 0.5000 0.7199
Cl1 0.0000 0.0000 0.8739
Cl2 0.5000 0.5000 0.3444
Ta1 0.0000 0.0000 0.5618
```

---

This record from Alexandria describes a geometry-optimized TaBeCl2 structure. The functional is PBE-GGA.

Output
- symmetry = P4/mmm

Structure (CIF):
```
data_TaBeCl2
_space_group_name_H-M_alt 'P 1'
_space_group_IT_number 1
_cell_length_a 4.1683
_cell_length_b 3.9717
_cell_length_c 3.9717
_cell_angle_alpha 90.00
_cell_angle_beta 90.00
_cell_angle_gamma 90.00
loop_
_space_group_symop_operation_xyz
'x,y,z'
loop_
_atom_site_label
_atom_site_fract_x
_atom_site_fract_y
_atom_site_fract_z
Be1 0.5000 0.0000 0.5000
Cl1 0.0000 0.0000 0.0000
Cl2 0.0000 0.5000 0.5000
Ta1 0.5000 0.5000 0.0000
```

---

This record from Alexandria describes a geometry-optimized TaBeCl structure. The functional is PBE-GGA.

Output
- symmetry = P2_1/m

Structure (CIF):
```
data_TaBeCl
_space_group_name_H-M_alt 'P 1'
_space_group_IT_number 1
_cell_length_a 3.5301
_cell_length_b 3.3327
_cell_length_c 9.7108
_cell_angle_alpha 90.00
_cell_angle_beta 93.72
_cell_angle_gamma 90.00
loop_
_space_group_symop_operation_xyz
'x,y,z'
loop_
_atom_site_label
_atom_site_fract_x
_atom_site_fract_y
_atom_site_fract_z
Be1 0.7903 0.2500 0.1794
Be2 0.2097 0.7500 0.8206
Cl1 0.2780 0.2500 0.6859
Cl2 0.7220 0.7500 0.3141
Ta1 0.7209 0.2500 0.9267
Ta2 0.2791 0.7500 0.0733
```

---

no.,polymorph energy (0 for the lowest one) (meV/atom),total magnetic moment (Bohr magnetons per cell)
1,1514,2.7
2,452,0.0
3,1845,0.0
4,316,0.0
5,128,0.0
6,240,0.0
7,1268,0.0
8,0,0.0